The following is a GGA-PBEsol calculation of an optimized crystal structure of Bi2CI, from the Alexandria database.

Cell and atoms, written as CIF:
```
data_Bi2CI
_symmetry_space_group_name_H-M 'P 1'
_symmetry_Int_Tables_number 1
_cell_length_a 6.514
_cell_length_b 6.514
_cell_length_c 6.514
_cell_angle_alpha 109.34
_cell_angle_beta 109.53
_cell_angle_gamma 109.53
loop_
_symmetry_equiv_pos_as_xyz
'x,y,z'
loop_
_atom_site_label
_atom_site_fract_x
_atom_site_fract_y
_atom_site_fract_z
_atom_site_occupancy
C1 0.000 0.500 0.500 1
Bi1 0.898 0.523 0.125 1
Bi2 0.602 0.375 0.477 1
I1 0.500 0.750 0.250 1
Bi3 0.398 0.875 0.773 1
C2 0.500 0.250 0.750 1
Bi4 0.102 0.227 0.625 1
I2 0.000 0.000 0.000 1
```

## Properties
DOS(E_F): 2.0 states/eV/f.u.
Volume: 26.603 Å³ per atom
ΔE_f (raw): 0.846 eV per atom
VASP energy: -16.60 eV/f.u.